Entry 1:
# Mg4Sc | the Alexandria database | SCAN | PBEsol geometry
# Uncorrected energy (eV/atom): -6.807
# V (Å³ per cell): 226
# Energy relative to the elements (eV per formula unit): 0.1
# ΔE to the lowest computed polymorph (eV per formula unit): 0.01
data_Mg4Sc
_chemical_formula_sum 'Mg8 Sc2'
_cell_length_a 6.925
_cell_length_b 6.925
_cell_length_c 4.717
_cell_angle_alpha 90.00
_cell_angle_beta 90.00
_cell_angle_gamma 90.00
_symmetry_space_group_name_H-M 'I 4/m'
_symmetry_Int_Tables_number 87
_symmetry_space_group_name_Hall '-I 4'
loop_
_atom_site_label
_atom_site_type_symbol
_atom_site_fract_x
_atom_site_fract_y
_atom_site_fract_z
_atom_site_occupancy
Mg1 Mg 0.089 0.298 0.000 1
Sc1 Sc 0.000 0.000 0.500 1

***

Entry 2:
# Mg7Sc | the Alexandria database | SCAN | PBEsol geometry
# Uncorrected energy (eV/atom): -6.111
# V (Å³ per cell): 729
# Energy relative to the elements (eV per formula unit): 0.2
data_Mg7Sc
_chemical_formula_sum 'Mg28 Sc4'
_cell_length_a 9.000
_cell_length_b 9.000
_cell_length_c 9.000
_cell_angle_alpha 90.00
_cell_angle_beta 90.00
_cell_angle_gamma 90.00
_symmetry_space_group_name_H-M 'F m -3 m'
_symmetry_Int_Tables_number 225
_symmetry_space_group_name_Hall '-F 4 2 3'
loop_
_atom_site_label
_atom_site_type_symbol
_atom_site_fract_x
_atom_site_fract_y
_atom_site_fract_z
_atom_site_occupancy
Mg1 Mg 0.000 0.000 0.000 1
Mg2 Mg 0.000 0.250 0.250 1
Sc1 Sc 0.000 0.000 0.500 1

***

Entry 3:
# Mg4Sc | the Alexandria database | SCAN | PBEsol geometry
# Uncorrected energy (eV/atom): -6.810
# V (Å³ per cell): 342
# Energy relative to the elements (eV per formula unit): 0.1
# ΔE to the lowest computed polymorph (eV per formula unit): 0.00
data_Mg4Sc
_chemical_formula_sum 'Mg12 Sc3'
_cell_length_a 3.1729
_cell_length_b 3.1729
_cell_length_c 39.2752
_cell_angle_alpha 90.00
_cell_angle_beta 90.00
_cell_angle_gamma 120.00
_symmetry_space_group_name_H-M 'R -3 m'
_symmetry_Int_Tables_number 166
_symmetry_space_group_name_Hall '-R 3 2"'
loop_
_atom_site_label
_atom_site_type_symbol
_atom_site_fract_x
_atom_site_fract_y
_atom_site_fract_z
_atom_site_occupancy
Mg1 Mg 0.0000 0.0000 0.0998 1
Mg2 Mg 0.0000 0.0000 0.3001 1
Sc1 Sc 0.0000 0.0000 0.5000 1

***

Entry 4:
# Mg3Sc4 | the Alexandria database | SCAN | PBEsol geometry
# Uncorrected energy (eV/atom): -10.205
# V (Å³ per cell): 163
# Energy relative to the elements (eV per formula unit): 0.4
# ΔE to the lowest computed polymorph (eV per formula unit): 0.81
data_Mg3Sc4
_chemical_formula_sum 'Mg3 Sc4'
_cell_length_a 5.7162
_cell_length_b 5.7162
_cell_length_c 5.7623
_cell_angle_alpha 90.00
_cell_angle_beta 90.00
_cell_angle_gamma 120.00
_symmetry_space_group_name_H-M 'P 6/m m m'
_symmetry_Int_Tables_number 191
_symmetry_space_group_name_Hall '-P 6 2'
loop_
_atom_site_label
_atom_site_type_symbol
_atom_site_fract_x
_atom_site_fract_y
_atom_site_fract_z
_atom_site_occupancy
Mg1 Mg 0.0000 0.5000 0.0000 1
Sc1 Sc 0.0000 0.0000 0.2620 1
Sc2 Sc 0.3333 0.6667 0.5000 1